No. 1
A relaxed structure of ReOsSe2, computed with GGA-PBE.

The structure in POSCAR format:
```
ReOsSe2
1.0
-1.8546 1.4334 3.7567
-2.8438 3.3930 -0.0889
-4.3072 -0.7010 0.7507
Re Se Os
1 2 1
Cartesian
0.0000 0.0000 0.0000
-6.7542 3.0941 3.3139
-2.2514 1.0314 1.1046
-4.5028 2.0627 2.2093
```

formation energy without anion corrections: 71.3 kJ/mol of atoms
E: -27.7 eV per cell
offset from the most stable computed form: 54.61 kJ per mole of atoms

No. 2
A relaxed structure of ReOsSe2, computed with GGA-PBE.

The structure in POSCAR format:
```
ReOsSe2
1.0
-5.3361 -4.3518 -1.1321
-1.5640 -4.7019 -4.9133
4.7554 2.6255 4.3804
Se Re Os
2 1 1
Cartesian
-0.7969 -1.0456 -0.6982
-2.6532 -3.4812 -2.3245
-0.1293 -3.3016 -1.7778
-2.0154 -3.1266 0.1128
```

formation energy without anion corrections: 36.2 kJ/mol of atoms
E: -29.1 eV per cell
offset from the most stable computed form: 19.57 kJ per mole of atoms

No. 3
A relaxed structure of ReOsSe4, computed with GGA-PBE.

The structure in POSCAR format:
```
ReOsSe4
1.0
3.9163 1.8620 3.2144
-0.7913 0.2838 5.3320
2.6164 -3.3763 3.3003
Se Os Re
4 1 1
Cartesian
2.1538 -0.4616 4.4440
1.7585 -0.3198 7.1073
4.1099 0.4684 6.0495
3.4606 -2.1480 6.0925
4.3061 -0.9229 8.8850
0.0000 0.0000 0.0000
```

formation energy without anion corrections: 183.0 kJ/mol of atoms
E: -26.2 eV per cell
offset from the most stable computed form: 181.88 kJ per mole of atoms

No. 4
A relaxed structure of TlRe2OsSe, computed with GGA-PBE.

The structure in POSCAR format:
```
TlRe2OsSe
1.0
5.1275 0.0000 0.0000
0.0000 5.0146 0.0000
0.0000 0.0000 5.1275
Se Re Os Tl
1 2 1 1
Cartesian
2.5638 2.5073 2.5638
2.5638 0.0000 0.0000
0.0000 0.0000 2.5638
0.0000 2.5073 0.0000
0.0000 0.0000 0.0000
```

formation energy without anion corrections: 328.5 kJ/mol of atoms
E: -25.0 eV per cell

No. 5
A relaxed structure of VRe2OsSe, computed with GGA-PBE.

The structure in POSCAR format:
```
VRe2OsSe
1.0
4.5260 0.0000 0.0000
0.0000 4.5197 0.0000
0.0000 0.0000 4.5260
Re V Se Os
2 1 1 1
Cartesian
2.2630 0.0000 0.0000
0.0000 0.0000 2.2630
0.0000 0.0000 0.0000
2.2630 2.2598 2.2630
0.0000 2.2598 0.0000
```

formation energy without anion corrections: 184.9 kJ/mol of atoms
E: -39.1 eV per cell

No. 6
A relaxed structure of Re2SiOs, computed with GGA-PBE.

The structure in POSCAR format:
```
Re2SiOs
1.0
-3.6677 3.1514 -0.4902
-2.5427 0.7440 4.0749
4.7236 0.0365 -1.1448
Re Os Si
2 1 1
Cartesian
-3.1052 1.9477 1.7924
0.0000 0.0000 0.0000
-1.0247 2.5678 0.0787
-0.4622 1.3641 2.3612
```

formation energy without anion corrections: 12.6 kJ/mol of atoms
E: -41.0 eV per cell

No. 7
A relaxed structure of ReSiOs4, computed with GGA-PBE.

The structure in POSCAR format:
```
ReSiOs4
1.0
4.6309 -2.1094 -0.3258
0.5270 -4.7192 -1.8579
2.1597 -0.7171 -4.5632
Os Re Si
4 1 1
Cartesian
5.0591 -3.8843 -2.6932
2.7444 -2.8300 -2.5304
3.8239 -3.1884 -4.8112
3.0078 -5.1888 -3.4590
5.4882 -5.6593 -5.0602
0.0000 0.0000 0.0000
```

formation energy without anion corrections: 94.6 kJ/mol of atoms
E: -56.9 eV per cell

No. 8
A relaxed structure of Re2SiOs, computed with GGA-PBE.

The structure in POSCAR format:
```
Re2SiOs
1.0
-2.7786 -1.7700 3.9185
2.1910 -0.1623 4.6240
-1.4573 2.9095 -3.9521
Re Si Os
2 1 1
Cartesian
-0.5735 -1.8860 8.3381
-0.3078 -1.0124 4.4757
-2.2648 0.0867 2.1188
0.2200 0.8906 2.4716
```

formation energy without anion corrections: -5.0 kJ/mol of atoms
E: -41.8 eV per cell

| no. | total magnetization (μB/cell) |
| --- | --- |
| 1 | 0.00 |
| 2 | 0.56 |
| 3 | 1.51 |
| 4 | 8.57 |
| 5 | 0.00 |
| 6 | 0.00 |
| 7 | 0.00 |
| 8 | 0.00 |